1.
Material: Tb2Nd7Tm3
Method: DFT, PBE-GGA
State: relaxed

Calculated values
- Space-group type: No. 10
- Uncorrected energy: -4.60 eV/atom
- M_tot: 0.0 μB/f.u.

Lattice parameters (Å, degrees): 6.4625 3.5618 17.5575 90.00 95.84 90.00
Sites, in units of the cell vectors:
Tb  0.0599  0.0000  0.1703
Tb  0.9401  0.0000  0.8297
Nd  0.0000  0.5000  0.5000
Nd  0.2257  0.0000  0.6725
Nd  0.2580  0.0000  0.9941
Nd  0.2778  0.5000  0.3339
Nd  0.7222  0.5000  0.6661
Nd  0.7420  0.0000  0.0059
Nd  0.7743  0.0000  0.3275
Tm  0.4561  0.5000  0.8412
Tm  0.5000  0.0000  0.5000
Tm  0.5439  0.5000  0.1588

---

2.
Material: Tb2Nd6Tm3
Method: DFT, PBE-GGA
State: relaxed

Calculated values
- Space-group type: No. 2
- Uncorrected energy: -4.64 eV/atom
- M_tot: 0.0 μB/f.u.

Lattice parameters (Å, degrees): 6.2414 8.0381 8.0809 107.40 97.38 104.89
Sites, in units of the cell vectors:
Tb  0.2291  0.4110  0.0472
Tb  0.7709  0.5890  0.9528
Nd  0.0471  0.6821  0.4086
Nd  0.1361  0.0463  0.2307
Nd  0.3202  0.7715  0.8654
Nd  0.6798  0.2285  0.1346
Nd  0.8639  0.9537  0.7693
Nd  0.9529  0.3179  0.5914
Tm  0.4097  0.1384  0.6820
Tm  0.5000  0.5000  0.5000
Tm  0.5903  0.8616  0.3180

---

3.
Material: Tb5Nd2Tm12
Method: DFT, PBE-GGA
State: relaxed

Calculated values
- Space-group type: No. 2
- Uncorrected energy: -4.48 eV/atom
- M_tot: 0.0 μB/f.u.

Lattice parameters (Å, degrees): 6.2127 8.7521 11.9258 110.51 92.25 99.74
Sites, in units of the cell vectors:
Tb  0.0000  0.0000  0.0000
Tb  0.2138  0.6632  0.9881
Tb  0.3634  0.6499  0.4868
Tb  0.6366  0.3501  0.5132
Tb  0.7862  0.3368  0.0119
Nd  0.2689  0.0571  0.5774
Nd  0.7311  0.9429  0.4226
Tm  0.1000  0.2214  0.3460
Tm  0.1650  0.4698  0.6757
Tm  0.2170  0.8281  0.2830
Tm  0.2837  0.2707  0.8662
Tm  0.3093  0.4288  0.1690
Tm  0.4527  0.9001  0.8248
Tm  0.5473  0.0999  0.1752
Tm  0.6907  0.5712  0.8310
Tm  0.7163  0.7293  0.1338
Tm  0.7830  0.1719  0.7170
Tm  0.8350  0.5302  0.3243
Tm  0.9000  0.7786  0.6540

---

4.
Material: Tb2Nd4Tm3
Method: DFT, PBE-GGA
State: relaxed

Calculated values
- Space-group type: No. 15
- Uncorrected energy: -4.49 eV/atom
- M_tot: 0.0 μB/f.u.

Lattice parameters (Å, degrees): 9.8776 9.8776 6.3177 93.24 93.24 75.08
Sites, in units of the cell vectors:
Tb  0.1263  0.3615  0.4076
Tb  0.3615  0.1263  0.9076
Tb  0.6385  0.8737  0.0924
Tb  0.8737  0.6385  0.5924
Nd  0.1832  0.4703  0.9274
Nd  0.1904  0.6888  0.5186
Nd  0.3112  0.8096  0.9814
Nd  0.4703  0.1832  0.4274
Nd  0.5297  0.8168  0.5726
Nd  0.6888  0.1904  0.0186
Nd  0.8096  0.3112  0.4814
Nd  0.8168  0.5297  0.0726
Tm  0.0214  0.1737  0.9191
Tm  0.1737  0.0214  0.4191
Tm  0.4824  0.5176  0.2500
Tm  0.5176  0.4824  0.7500
Tm  0.8263  0.9786  0.5809
Tm  0.9786  0.8263  0.0809

---

5.
Material: Tb4Nd4Tm3
Method: DFT, PBE-GGA
State: relaxed

Calculated values
- Space-group type: No. 71
- Uncorrected energy: -4.52 eV/atom
- M_tot: 0.0 μB/f.u.

Lattice parameters (Å, degrees): 11.9543 11.9543 11.9543 162.58 133.64 49.89
Sites, in units of the cell vectors:
Tb  0.1829  0.0000  0.1829
Tb  0.2387  0.2387  0.0000
Tb  0.7613  0.7613  0.0000
Tb  0.8171  0.0000  0.8171
Nd  0.1789  0.8565  0.3224
Nd  0.4659  0.1435  0.3224
Nd  0.5341  0.8565  0.6776
Nd  0.8211  0.1435  0.6776
Tm  0.1067  0.6067  0.5000
Tm  0.5000  0.5000  0.0000
Tm  0.8933  0.3933  0.5000

---

6.
Material: Tb6NdTm3
Method: DFT, PBE-GGA
State: relaxed

Calculated values
- Space-group type: No. 36
- Uncorrected energy: -4.47 eV/atom
- M_tot: 0.0 μB/f.u.

Lattice parameters (Å, degrees): 11.5141 11.5141 6.3744 90.00 90.00 130.53
Sites, in units of the cell vectors:
Tb  0.0153  0.9847  0.5000
Tb  0.1056  0.5433  0.9797
Tb  0.2623  0.3791  0.7345
Tb  0.3015  0.6985  0.5192
Tb  0.3791  0.2623  0.2345
Tb  0.4567  0.8944  0.9797
Tb  0.5433  0.1056  0.4797
Tb  0.6209  0.7377  0.7345
Tb  0.6985  0.3015  0.0192
Tb  0.7377  0.6209  0.2345
Tb  0.8944  0.4567  0.4797
Tb  0.9847  0.0153  0.0000
Nd  0.1614  0.8386  0.3007
Nd  0.8386  0.1614  0.8007
Tm  0.0438  0.2957  0.3232
Tm  0.2957  0.0438  0.8232
Tm  0.4180  0.5820  0.2107
Tm  0.5820  0.4180  0.7107
Tm  0.7043  0.9562  0.3232
Tm  0.9562  0.7043  0.8232

---

Which value of M_tot does entry 2 give?
0.0 μB/f.u.

---

Which value of M_tot does entry 3 give?
0.0 μB/f.u.

---

What is the M_tot in the third record?
0.0 μB/f.u.